No. 1
The following is a DFT calculation (meta-GGA SCAN) of a PBEsol-optimized structure of Cu2IrPt.

- density of states at the Fermi level (states/eV per cell) = 3.274
- density (g/cm³) = 15.966
- magnetization (μB/f.u.) = 0.00
- formation energy (meV/atom) = 39

abc: 2.6378 2.6378 8.7819
angles: 90.00 90.00 118.89
With the nearest neighbours (Å) after each atom.
Sites, in units of the cell vectors:
Ir 0.5000 0.5000 0.5000  4 Cu 2.56, 6 Ir 2.64-2.68
Cu 0.0000 0.0000 0.2514  2 Ir 2.56, 2 Pt 2.58, 6 Cu 2.64-2.68
Cu 0.0000 0.0000 0.7486  2 Ir 2.56, 2 Pt 2.58, 6 Cu 2.64-2.68
Pt 0.5000 0.5000 0.0000  4 Cu 2.58, 6 Pt 2.64-2.68

No. 2
The following is a DFT calculation (meta-GGA SCAN) of a PBEsol-optimized structure of IrPbO2.

- density of states at the Fermi level (states/eV per cell) = 5.149
- energy relative to the elements, uncorrected (meV/atom) = -133
- density (g/cm³) = 11.644
- magnetization (μB/f.u.) = 0.00

abc: 4.4155 4.4155 7.0414
angles: 108.27 108.27 90.00
With the nearest neighbours (Å) after each atom.
Sites, in units of the cell vectors:
O 0.1250 0.2270 0.7500  2 Ir 2.03
Ir 0.7500 0.2500 0.5000  4 O 2.03
O 0.7730 0.3750 0.2500  2 Ir 2.03
Pb 0.2500 0.7500 0.5000  4 O 2.47
O 0.4770 0.8750 0.2500  2 Ir 2.03
O 0.6250 0.5230 0.7500  2 Ir 2.03
Pb 0.0000 0.0000 0.0000  4 O 2.47
Ir 0.5000 0.5000 0.0000  4 O 2.03

No. 3
The following is a DFT calculation (meta-GGA SCAN) of a PBEsol-optimized structure of ReSbAu2.

- density of states at the Fermi level (states/eV per cell) = 2.377
- energy relative to the elements, uncorrected (meV/atom) = 648
- density (g/cm³) = 16.049
- magnetization (μB/f.u.) = 0.00

abc: 2.7790 4.0685 6.4232
angles: 90.00 90.00 90.00
With the nearest neighbours (Å) after each atom.
Sites, in units of the cell vectors:
Sb 0.5000 0.5000 0.5000  2 Sb 2.78, 8 Au 3.05
Au 0.0000 0.0000 0.7812  3 Au 2.78-2.81, 4 Re 2.84, 4 Sb 3.05
Au 0.0000 0.0000 0.2188  3 Au 2.78-2.81, 4 Re 2.84, 4 Sb 3.05
Re 0.5000 0.5000 0.0000  2 Re 2.78, 8 Au 2.84

No. 4
The following is a DFT calculation (meta-GGA SCAN) of a PBEsol-optimized structure of MoAsPdS2.

- density of states at the Fermi level (states/eV per cell) = 4.744
- energy relative to the elements, uncorrected (meV/atom) = 563
- density (g/cm³) = 5.659
- magnetization (μB/f.u.) = 0.32

abc: 4.4611 4.4611 5.0336
angles: 90.00 90.00 90.00
With the nearest neighbours (Å) after each atom.
Sites, in units of the cell vectors:
Mo 0.0000 0.0000 0.0000  4 S 2.23
S 0.5000 0.0000 0.0000  2 Mo 2.23
Pd 0.0000 0.0000 0.5000  2 Mo 2.52
As 0.5000 0.5000 0.5000  4 Pd 3.15, 8 S 3.36
S 0.0000 0.5000 0.0000  2 Mo 2.23

No. 5
The following is a DFT calculation (meta-GGA SCAN) of a PBEsol-optimized structure of MgIn3.

- density of states at the Fermi level (states/eV per cell) = 1.909
- density (g/cm³) = 6.271
- magnetization (μB/f.u.) = 0.00
- formation energy (meV/atom) = -7

abc: 3.6904 5.2024 6.0034
angles: 115.68 107.90 90.00
With the nearest neighbours (Å) after each atom.
Sites, in units of the cell vectors:
In 0.5000 0.0000 0.0000  4 In 3.18, 4 Mg 3.19
In 0.2541 0.2541 0.5083  2 Mg 3.11, 6 In 3.18-3.19
In 0.7459 0.7459 0.4917  2 Mg 3.11, 6 In 3.18-3.19
Mg 0.0000 0.5000 0.0000  8 In 3.11-3.19

No. 6
The following is a DFT calculation (meta-GGA SCAN) of a PBEsol-optimized structure of TlNi2Pb.

- density of states at the Fermi level (states/eV per cell) = 2.266
- density (g/cm³) = 11.202
- magnetization (μB/f.u.) = 0.63
- formation energy (meV/atom) = 306

abc: 3.9264 3.9264 6.2953
angles: 71.83 71.83 60.00
With the nearest neighbours (Å) after each atom.
Sites, in units of the cell vectors:
Tl 0.2780 0.2780 0.1659  6 Ni 2.76-2.92
Pb 0.4718 0.4718 0.5847  6 Ni 2.76-2.91
Ni 0.0344 0.0344 0.8967  3 Ni 2.28
Ni 0.7158 0.7158 0.8526  3 Ni 2.28

No. 7
The following is a DFT calculation (meta-GGA SCAN) of a PBEsol-optimized structure of La2ZrZn.

- density of states at the Fermi level (states/eV per cell) = 3.396
- density (g/cm³) = 7.201
- magnetization (μB/f.u.) = 0.00
- formation energy (meV/atom) = -99

abc: 3.4834 3.4834 8.2568
angles: 90.00 90.00 90.00
With the nearest neighbours (Å) after each atom.
Sites, in units of the cell vectors:
La 0.5000 0.5000 0.2842  4 Zn 3.20, 1 Zr 3.48, 8 La 3.48-3.53
Zr 0.5000 0.5000 0.7053  4 Zn 2.85
Zn 0.0000 0.0000 0.5324  4 Zr 2.85
La 0.0000 0.0000 0.9781  4 Zr 3.34, 8 La 3.48-3.53, 1 Zn 3.68

No. 8
The following is a DFT calculation (meta-GGA SCAN) of a PBEsol-optimized structure of CaHg2PtS.

- density of states at the Fermi level (states/eV per cell) = 2.680
- energy relative to the elements, uncorrected (meV/atom) = 763
- density (g/cm³) = 7.009
- magnetization (μB/f.u.) = 1.99

abc: 5.0237 5.6144 5.6144
angles: 90.00 90.00 90.00
With the nearest neighbours (Å) after each atom.
Sites, in units of the cell vectors:
Ca 0.0000 0.0000 0.0000  2 Pt 2.51, 4 Hg 2.81
S 0.5000 0.5000 0.5000  8 Hg 3.77, 4 Pt 3.97
Hg 0.0000 0.0000 0.5000  2 Ca 2.81
Pt 0.5000 0.0000 0.0000  2 Ca 2.51
Hg 0.0000 0.5000 0.0000  2 Ca 2.81

No. 9
The following is a DFT calculation (meta-GGA SCAN) of a PBEsol-optimized structure of SiHS2Cl.

- density of states at the Fermi level (states/eV per cell) = 3.222
- total energy (eV per atom) = -7.61
- density (g/cm³) = 2.319
- magnetization (μB/f.u.) = 0.67

abc: 4.4151 4.4151 4.7277
angles: 90.00 90.00 90.00
With the nearest neighbours (Å) after each atom.
Sites, in units of the cell vectors:
Cl 0.0000 0.0000 0.5000  2 Si 2.36
S 0.0000 0.5000 0.0000  2 Si 2.21
Si 0.0000 0.0000 0.0000  4 S 2.21, 2 Cl 2.36
S 0.5000 0.0000 0.0000  2 Si 2.21
H 0.5000 0.5000 0.5000  4 Cl 3.12, 8 S 3.23

No. 10
The following is a DFT calculation (meta-GGA SCAN) of a PBEsol-optimized structure of TaAlCr2.

- density of states at the Fermi level (states/eV per cell) = 3.314
- density (g/cm³) = 9.452
- magnetization (μB/f.u.) = 0.00
- formation energy (meV/atom) = 56

abc: 2.6142 4.1538 5.1144
angles: 90.00 99.34 90.00
With the nearest neighbours (Å) after each atom.
Sites, in units of the cell vectors:
Ta 0.5000 0.5000 0.0000  4 Cr 2.59, 2 Ta 2.61, 2 Al 2.68
Cr 0.7052 0.0000 0.7336  3 Cr 2.45-2.61, 2 Al 2.58, 2 Ta 2.59
Cr 0.2948 0.0000 0.2664  3 Cr 2.45-2.61, 2 Al 2.58, 2 Ta 2.59
Al 0.0000 0.5000 0.5000  4 Cr 2.58, 2 Al 2.61, 2 Ta 2.68

No. 11
The following is a DFT calculation (meta-GGA SCAN) of a PBEsol-optimized structure of TeAsN2F.

- density of states at the Fermi level (states/eV per cell) = 1.963
- energy relative to the elements, uncorrected (meV/atom) = 953
- density (g/cm³) = 5.417
- magnetization (μB/f.u.) = 1.07

abc: 3.6155 3.6155 5.8521
angles: 90.00 90.00 90.00
With the nearest neighbours (Å) after each atom.
Sites, in units of the cell vectors:
N 0.5000 0.0000 0.0000  2 As 1.81
N 0.0000 0.5000 0.0000  2 As 1.81
As 0.0000 0.0000 0.0000  4 N 1.81
F 0.5000 0.5000 0.5000  4 Te 2.56
Te 0.0000 0.0000 0.5000  4 F 2.56

No. 12
The following is a DFT calculation (meta-GGA SCAN) of a PBEsol-optimized structure of MnH4S2O10.

- density of states at the Fermi level (states/eV per cell) = 0.000
- total energy (eV per atom) = -8.11
- density (g/cm³) = 2.563
- magnetization (μB/f.u.) = 2.91

abc: 5.8758 7.2892 9.7465
angles: 68.91 78.20 71.20
With the nearest neighbours (Å) after each atom.
Sites, in units of the cell vectors:
O 0.8512 0.3141 0.3956  1 S 1.45, 1 H 1.55
O 0.7809 0.7381 0.7952  2 H 1.02
H 0.2462 0.4041 0.1636  1 O 1.02
O 0.2184 0.6403 0.1115  1 S 1.45, 1 H 1.57
O 0.5894 0.6240 0.5653  1 S 1.46, 1 H 1.55
S 0.3882 0.7556 0.0930  4 O 1.45-1.53
H 0.2647 0.3039 0.7732  1 O 1.02
O 0.4106 0.3760 0.4347  1 S 1.46, 1 H 1.55
S 0.3541 0.7678 0.5796  4 O 1.45-1.53
O 0.6342 0.0797 0.0582  1 S 1.53
O 0.2979 0.8784 0.2010  1 S 1.53
O 0.6694 0.1522 0.2935  1 S 1.51
H 0.0759 0.2676 0.2848  1 O 1.02
O 0.6740 0.0432 0.5585  1 S 1.53
O 0.7021 0.1216 0.7990  1 S 1.53
H 0.7054 0.6885 0.4032  1 O 1.03
O 0.6382 0.6361 0.1111  1 S 1.46, 1 H 1.60
H 0.2946 0.3115 0.5968  1 O 1.03
O 0.1488 0.6859 0.6044  1 S 1.45, 1 H 1.55
H 0.7353 0.6961 0.2268  1 O 1.02
H 0.9241 0.7324 0.7152  1 O 1.02
O 0.2191 0.2619 0.2048  2 H 1.02
O 0.7816 0.3597 0.8885  1 S 1.45, 1 H 1.57
O 0.3306 0.8478 0.7065  1 S 1.51
Mn 0.4773 0.0203 0.2479  6 O 1.85-1.91
O 0.7337 0.7750 0.2951  2 H 1.02-1.03
S 0.6459 0.2322 0.4204  4 O 1.45-1.53
S 0.6118 0.2444 0.9070  4 O 1.45-1.53
O 0.3260 0.9568 0.4415  1 S 1.53
H 0.7538 0.5959 0.8364  1 O 1.02
Mn 0.5227 0.9797 0.7521  6 O 1.85-1.91
O 0.3658 0.9203 0.9418  1 S 1.53
O 0.2663 0.2250 0.7049  2 H 1.02-1.03
O 0.3618 0.3639 0.8889  1 S 1.46, 1 H 1.60